Record 1
Below is an optimized crystal structure of AlFe4Co2, with properties calculated at the PBE level. Values from VASP.

Cell and atoms, written as Quantum ESPRESSO input:
```
&SYSTEM
  ibrav = 0, nat = 7, ntyp = 3
/
ATOMIC_SPECIES
Fe 55.84 Fe.upf
Co 58.93 Co.upf
Al 26.98 Al.upf
ATOMIC_POSITIONS crystal
Fe 0.3602 0.0000 0.7204
Co 0.7941 0.5000 0.5882
Fe 0.6398 0.0000 0.2796
Fe 0.0724 0.5000 0.1448
Co 0.2059 0.5000 0.4118
Al 0.5000 0.0000 0.0000
Fe 0.9276 0.5000 0.8552
CELL_PARAMETERS angstrom
2.7973 0.0000 -0.3691
0.0000 2.7886 0.0000
-0.0057 0.0000 10.7409
```

Summary:
E_tot	-7.3410	eV per atom
E_form	40	kJ/mol of formula units



Record 2
Below is an optimized crystal structure of Al2FeCo, with properties calculated at the PBE level. Values from VASP.

Cell and atoms, written as Quantum ESPRESSO input:
```
&SYSTEM
  ibrav = 0, nat = 8, ntyp = 3
/
ATOMIC_SPECIES
Co 58.93 Co.upf
Fe 55.84 Fe.upf
Al 26.98 Al.upf
ATOMIC_POSITIONS crystal
Co 0.7500 0.2500 0.5000
Fe 0.2500 0.7500 0.5000
Al 0.1099 0.6250 0.2500
Al 0.3750 0.3599 0.7500
Fe 0.5000 0.5000 0.0000
Al 0.8750 0.8901 0.7500
Al 0.6401 0.1250 0.2500
Co 0.0000 0.0000 0.0000
CELL_PARAMETERS angstrom
6.5141 0.0000 0.0000
0.0000 6.5141 0.0000
3.2571 3.2571 2.5971
```

Summary:
E_tot	-5.5870	eV per atom
E_form	68	kJ/mol of formula units



Record 3
Below is an optimized crystal structure of Al2FeCo2, with properties calculated at the PBE level. Values from VASP.

Cell and atoms, written as Quantum ESPRESSO input:
```
&SYSTEM
  ibrav = 0, nat = 5, ntyp = 3
/
ATOMIC_SPECIES
Co 58.93 Co.upf
Fe 55.84 Fe.upf
Al 26.98 Al.upf
ATOMIC_POSITIONS crystal
Co 0.4005 0.4005 0.1989
Co 0.5995 0.5995 0.8011
Fe 0.0000 0.0000 0.0000
Al 0.7500 0.2500 0.5000
Al 0.2500 0.7500 0.5000
CELL_PARAMETERS angstrom
3.5050 0.0000 0.0000
0.0000 3.5050 0.0000
1.7525 1.7525 5.4587
```

Summary:
E_tot	-5.5866	eV per atom
E_form	215	kJ/mol of formula units



Record 4
Below is an optimized crystal structure of AlFeCo4, with properties calculated at the PBE level. Values from VASP.

Cell and atoms, written as Quantum ESPRESSO input:
```
&SYSTEM
  ibrav = 0, nat = 6, ntyp = 3
/
ATOMIC_SPECIES
Co 58.93 Co.upf
Al 26.98 Al.upf
Fe 55.84 Fe.upf
ATOMIC_POSITIONS crystal
Co 0.8754 0.3749 0.3749
Al 0.0000 0.0000 0.0000
Co 0.3749 0.3749 0.3749
Co 0.3749 0.8754 0.3749
Fe 0.7500 0.7500 0.7500
Co 0.3749 0.3749 0.8754
CELL_PARAMETERS angstrom
0.0000 3.2977 3.2977
3.2977 0.0000 3.2977
3.2977 3.2977 0.0000
```

Summary:
E_tot	-6.8128	eV per atom
E_form	-24	kJ/mol of formula units



Q: Which formula does entry 2 have?
A: Al2FeCo